DFT (GGA-PBE) results for BPbF after structural relaxation.

a = 7.4112 Å, b = 6.0108 Å, c = 6.8813 Å
α = 90.00°, β = 122.05°, γ = 90.00°
Space group Cm (No. 8)
Inequivalent atoms, fractional coordinates:
1 B 0.0000 0.1422 0.0000 (multiplicity 4)
2 Pb 0.3388 0.5000 0.2653 (multiplicity 2)
3 Pb 0.4223 0.0000 0.2665 (multiplicity 2)
4 F 0.3971 0.2553 0.7911 (multiplicity 4)

Computed properties:
For the formation energy from raw total energies, the calculation gives -568 meV/atom. Its crystal system is monoclinic.